A geometry-optimized MgZrTaOs2 structure. Source: the Alexandria database, functional PBE.

POSCAR file:
```
MgZrTaOs2
1.0
-1.028 -0.567 -4.375
3.914 -2.351 -0.615
-2.157 -3.854 1.006
Mg Os Zr Ta
1 2 1 1
Cartesian
0.000 0.000 0.000
-1.078 -1.927 0.503
-0.514 -0.284 -2.187
0.365 -3.386 -1.992
1.957 -1.175 -0.308
```


A geometry-optimized Tb2MgOs2 structure. Source: the Alexandria database, functional PBE.

POSCAR file:
```
Tb2MgOs2
1.0
-2.471 -4.363 -2.340
5.464 0.866 -0.841
-0.295 -3.811 7.418
Tb Mg Os
4 2 4
Cartesian
0.359 -2.479 -0.308
3.238 -1.596 1.547
2.339 -4.829 4.545
-0.540 -5.712 2.690
-2.186 -4.683 -0.146
-0.580 -3.491 5.224
2.030 -4.358 1.378
-0.924 -4.116 -2.497
0.668 -2.950 2.859
3.621 -3.192 6.734
```


A geometry-optimized Tb4Mg3Os structure. Source: the Alexandria database, functional PBE.

POSCAR file:
```
Tb4Mg3Os
1.0
-2.361 -1.241 2.285
-0.964 -2.448 -2.326
11.504 -10.434 6.217
Os Mg Tb
1 3 4
Cartesian
-1.662 -1.845 -0.021
1.096 -4.346 1.470
4.090 -7.062 3.088
7.084 -9.777 4.706
10.379 -9.413 5.609
1.125 -1.020 0.608
4.244 -3.849 2.294
7.260 -6.585 3.924
```


A geometry-optimized Tb2MgOs structure. Source: the Alexandria database, functional PBE.

POSCAR file:
```
Tb2MgOs
1.0
-3.210 -0.260 1.768
0.342 -4.923 -0.105
2.377 0.073 4.326
Tb Mg Os
2 1 1
Cartesian
1.188 0.036 2.163
0.171 -2.462 -0.052
-1.605 -0.130 0.884
-0.246 -2.555 2.995
```


A geometry-optimized Tb3Mg2Os structure. Source: the Alexandria database, functional PBE.

POSCAR file:
```
Tb3Mg2Os
1.0
2.492 -7.423 0.000
2.492 7.423 0.000
0.000 0.000 8.142
Tb Mg Os
6 4 2
Cartesian
2.492 -4.818 6.464
2.492 0.000 1.770
2.492 4.818 1.678
2.492 -4.818 1.678
2.492 4.818 6.464
2.492 0.000 6.372
0.000 0.000 0.000
0.000 0.000 4.071
2.492 2.480 4.071
2.492 -2.480 4.071
2.492 2.353 0.000
2.492 -2.353 0.000
```


A geometry-optimized Tb3MgOs structure. Source: the Alexandria database, functional PBE.

POSCAR file:
```
Tb3MgOs
1.0
-4.614 -0.578 -1.806
2.429 -3.988 -4.928
-1.017 -6.584 4.706
Tb Mg Os
6 2 2
Cartesian
-2.567 -4.799 -2.238
-0.635 -6.351 0.210
-3.836 -7.615 1.903
-1.793 -4.442 2.559
0.633 -3.535 -3.931
-1.409 -6.708 -4.587
-0.759 -2.655 -0.656
-2.443 -8.495 -1.372
0.285 -5.633 -2.369
-3.487 -5.517 0.341
```

## Properties
Excess energy over the best structure of this formula in the dataset, kcal/mol of atoms: 2.12


Number 1: total magnetic moment 0.000 μB/f.u., electronic total energy -7.35 eV per atom. Number 2: total magnetic moment 0.000 μB/f.u., electronic total energy -6.79 eV per atom. Number 3: total magnetic moment 0.297 μB/f.u., electronic total energy -4.44 eV per atom. Number 4: total magnetic moment 0.000 μB/f.u., electronic total energy -5.56 eV per atom. Number 5: total magnetic moment 0.000 μB/f.u., electronic total energy -4.88 eV per atom. Number 6: total magnetic moment 0.000 μB/f.u., electronic total energy -5.43 eV per atom.